1.
This record from the Alexandria database describes a geometry-optimized Pr3DyTm4 structure. The functional is PBE.

abc: 11.445 7.311 6.274
angles: 90.00 90.00 90.00
Space group Pmn2_1 (No. 31)
One atom of each set of equivalent atoms:
Pr: 0.000 0.129 0.000 [2 per cell]
Pr: 0.250 0.128 0.338 [4 per cell]
Dy: 0.000 0.868 0.500 [2 per cell]
Tm: 0.000 0.381 0.501 [2 per cell]
Tm: 0.000 0.620 0.003 [2 per cell]
Tm: 0.248 0.620 0.336 [4 per cell]

Energy relative to the elements, eV per atom: 0.0259

---

2.
This record from the Alexandria database describes a geometry-optimized Pm5Nd2In5 structure. The functional is PBE.

abc: 11.779 5.288 12.254
angles: 90.00 108.83 90.00
Space group C2/m (No. 12)
One atom of each set of equivalent atoms:
Pm: 0.000 0.000 0.000 [2 per cell]
Pm: 0.131 0.000 0.777 [4 per cell]
Pm: 0.154 0.000 0.504 [4 per cell]
Nd: 0.070 0.500 0.256 [4 per cell]
In: 0.000 0.500 0.500 [2 per cell]
In: 0.175 0.500 0.964 [4 per cell]
In: 0.239 0.000 0.274 [4 per cell]

Energy relative to the elements, eV per atom: -0.3176

---

3.
This record from the Alexandria database describes a geometry-optimized Tb4PrSm2Er structure. The functional is PBE.

abc: 13.679 13.296 6.843
angles: 90.00 119.99 90.00
Space group C2/c (No. 15)
One atom of each set of equivalent atoms:
Tb: 0.000 0.246 0.001 [8 per cell]
Tb: 0.247 0.000 0.494 [8 per cell]
Pr: 0.250 0.250 0.000 [4 per cell]
Sm: 0.000 0.500 0.000 [4 per cell]
Sm: 0.250 0.250 0.500 [4 per cell]
Er: 0.000 0.000 0.000 [4 per cell]

Energy relative to the elements, eV per atom: 0.4138

---

4.
This record from the Alexandria database describes a geometry-optimized Rb2MgMnCl6 structure. The functional is PBE.

abc: 7.2113 7.2113 36.1262
angles: 90.00 90.00 120.00
Space group R-3m (No. 166, hexagonal axes)
One atom of each set of equivalent atoms:
Rb: 0.0000 0.0000 0.1248 [6 per cell]
Rb: 0.0000 0.0000 0.2910 [6 per cell]
Mg: 0.0000 0.0000 0.4127 [6 per cell]
Mn: 0.0000 0.0000 0.0000 [3 per cell]
Mn: 0.0000 0.0000 0.5000 [3 per cell]
Cl: 0.0007 0.5003 0.7071 [18 per cell]
Cl: 0.0161 0.5081 0.1230 [18 per cell]

Uncorrected formation energy, meV/atom: -1690

---

Number 1: uncorrected energy -73.2 eV/cell. Number 2: uncorrected energy -101.6 eV/cell. Number 3: uncorrected energy -136.0 eV/cell. Number 4: uncorrected energy -244.1 eV/cell.